Density functional theory data (PBE) for a relaxed structure of Rb2LaSb.

For the calculated volume, the calculation gives 63.4 Å³ per atom. As for the space-group type: No. 122. The energy relative to the elements, uncorrected comes out at -0.21 eV per formula unit. The calculation puts the magnetization at 0.00 μB per cell.

Unit cell a=9.559 b=9.559 c=9.559 alpha=96.04 beta=96.04 gamma=142.14
Sites, in units of the cell vectors:
Rb 0.005 0.125 0.380
Rb 0.375 0.995 0.120
Rb 0.745 0.625 0.620
Rb 0.875 0.255 0.880
La 0.250 0.750 0.500
La 0.500 0.500 0.000
Sb 0.000 0.000 0.000
Sb 0.750 0.250 0.500


Density functional theory data (PBE) for a relaxed structure of Y3CrRh.

For the calculated volume, the calculation gives 30.5 Å³ per atom. As for the space-group type: No. 221. The calculation puts the magnetization at 4.85 μB per cell. The energy of formation from the pure elements is 98 meV per atom.

Unit cell a=5.342 b=5.342 c=5.342 alpha=90.00 beta=90.00 gamma=90.00
Sites, in units of the cell vectors:
Y 0.000 0.000 0.500
Y 0.000 0.500 0.000
Y 0.500 0.000 0.000
Cr 0.500 0.500 0.500
Rh 0.000 0.000 0.000


Density functional theory data (PBE) for a relaxed structure of La2PmPr2.

For the calculated volume, the calculation gives 37.8 Å³ per atom. The calculation puts the energy above the lowest structure with this stoichiometry at 139.0 meV per atom. As for the space-group type: No. 63. The calculation puts the magnetization at 0.00 μB per cell. The energy of formation from the pure elements is 259 meV per atom.

Unit cell a=8.949 b=8.949 c=6.516 alpha=90.00 beta=90.00 gamma=133.51
Sites, in units of the cell vectors:
La 0.066 0.402 0.250
La 0.402 0.066 0.750
La 0.598 0.934 0.250
La 0.934 0.598 0.750
Pm 0.000 0.000 0.000
Pm 0.000 0.000 0.500
Pr 0.171 0.829 0.250
Pr 0.407 0.593 0.750
Pr 0.593 0.407 0.250
Pr 0.829 0.171 0.750


Density functional theory data (PBE) for a relaxed structure of ZnINO2.

For the calculated volume, the calculation gives 12.2 Å³ per atom. As for the space-group type: No. 123. The energy relative to the elements, uncorrected comes out at 3.86 eV per formula unit. The calculation puts the magnetization at 0.00 μB per cell.

Unit cell a=3.878 b=3.878 c=4.073 alpha=90.00 beta=90.00 gamma=90.00
Sites, in units of the cell vectors:
Zn 0.000 0.000 0.000
I 0.500 0.500 0.500
N 0.000 0.000 0.500
O 0.000 0.500 0.000
O 0.500 0.000 0.000


Density functional theory data (PBE) for a relaxed structure of KIn2SI.

For the calculated volume, the calculation gives 43.4 Å³ per atom. The calculation puts the energy above the lowest structure with this stoichiometry at 252.5 meV per atom. As for the space-group type: No. 123. The energy relative to the elements, uncorrected comes out at 0.67 eV per formula unit. The calculation puts the magnetization at 0.00 μB per cell.

Unit cell a=6.225 b=6.225 c=5.600 alpha=90.00 beta=90.00 gamma=90.00
Sites, in units of the cell vectors:
K 0.000 0.000 0.000
In 0.000 0.500 0.500
In 0.500 0.000 0.500
S 0.500 0.500 0.000
I 0.500 0.500 0.500


Density functional theory data (PBE) for a relaxed structure of SrYBePb2.

For the calculated volume, the calculation gives 36.1 Å³ per atom. As for the space-group type: No. 123. The calculation puts the magnetization at 0.00 μB per cell. The energy of formation from the pure elements is 380 meV per atom.

Unit cell a=5.819 b=5.819 c=5.331 alpha=90.00 beta=90.00 gamma=90.00
Sites, in units of the cell vectors:
Sr 0.000 0.000 0.000
Y 0.500 0.500 0.500
Be 0.500 0.500 0.000
Pb 0.000 0.500 0.500
Pb 0.500 0.000 0.500


Density functional theory data (PBE) for a relaxed structure of ZnAs2Pb2.

For the calculated volume, the calculation gives 27.3 Å³ per atom. The calculation puts the energy above the lowest structure with this stoichiometry at 67.9 meV per atom. As for the space-group type: No. 127. The calculation puts the magnetization at 0.00 μB per cell. The energy of formation from the pure elements is 232 meV per atom.

Unit cell a=8.337 b=8.337 c=3.932 alpha=90.00 beta=90.00 gamma=90.00
Sites, in units of the cell vectors:
Zn 0.000 0.000 0.000
Zn 0.500 0.500 0.000
As 0.110 0.390 0.500
As 0.390 0.890 0.500
As 0.610 0.110 0.500
As 0.890 0.610 0.500
Pb 0.171 0.671 0.000
Pb 0.329 0.171 0.000
Pb 0.671 0.829 0.000
Pb 0.829 0.329 0.000


Density functional theory data (PBE) for a relaxed structure of Tb4TlHg5.

For the calculated volume, the calculation gives 26.1 Å³ per atom. As for the space-group type: No. 123. The calculation puts the magnetization at 0.00 μB per cell. The energy of formation from the pure elements is -397 meV per atom.

Unit cell a=3.792 b=3.792 c=18.185 alpha=90.00 beta=90.00 gamma=90.00
Sites, in units of the cell vectors:
Tb 0.000 0.000 0.101
Tb 0.000 0.000 0.304
Tb 0.000 0.000 0.696
Tb 0.000 0.000 0.899
Tl 0.000 0.000 0.500
Hg 0.500 0.500 0.000
Hg 0.500 0.500 0.199
Hg 0.500 0.500 0.396
Hg 0.500 0.500 0.604
Hg 0.500 0.500 0.801


Density functional theory data (PBE) for a relaxed structure of Si2SbW.

For the calculated volume, the calculation gives 20.4 Å³ per atom. As for the space-group type: No. 8. The energy relative to the elements, uncorrected comes out at 1.16 eV per formula unit. The calculation puts the magnetization at 0.00 μB per cell.

Unit cell a=4.473 b=4.473 c=5.815 alpha=93.39 beta=93.39 gamma=44.68
Sites, in units of the cell vectors:
Si 0.000 0.000 0.000
Si 0.736 0.736 0.821
Sb 0.605 0.605 0.401
W 0.294 0.294 0.124


Density functional theory data (PBE) for a relaxed structure of KAg4Br5.

For the calculated volume, the calculation gives 34.7 Å³ per atom. As for the space-group type: No. 59. The energy relative to the elements, uncorrected comes out at -5.37 eV per formula unit. The calculation puts the magnetization at 0.00 μB per cell.

Unit cell a=8.130 b=12.250 c=6.972 alpha=90.00 beta=90.00 gamma=90.00
Sites, in units of the cell vectors:
K 0.250 0.250 0.008
K 0.750 0.750 0.992
Ag 0.072 0.750 0.576
Ag 0.250 0.557 0.029
Ag 0.250 0.943 0.029
Ag 0.428 0.750 0.576
Ag 0.572 0.250 0.424
Ag 0.750 0.057 0.971
Ag 0.750 0.443 0.971
Ag 0.928 0.250 0.424
Br 0.007 0.072 0.231
Br 0.007 0.428 0.231
Br 0.250 0.750 0.252
Br 0.493 0.072 0.231
Br 0.493 0.428 0.231
Br 0.507 0.572 0.769
Br 0.507 0.928 0.769
Br 0.750 0.250 0.748
Br 0.993 0.572 0.769
Br 0.993 0.928 0.769


Density functional theory data (PBE) for a relaxed structure of Cs2CuCl2F4.

For the calculated volume, the calculation gives 22.1 Å³ per atom. As for the space-group type: No. 139. The energy relative to the elements, uncorrected comes out at -15.67 eV per formula unit. The calculation puts the magnetization at 1.00 μB per cell.

Unit cell a=6.380 b=6.380 c=6.380 alpha=111.85 beta=111.85 gamma=104.81
Sites, in units of the cell vectors:
Cs 0.250 0.750 0.500
Cs 0.750 0.250 0.500
Cu 0.000 0.000 0.000
Cl 0.367 0.367 0.000
Cl 0.633 0.633 0.000
F 0.187 0.187 0.375
F 0.187 0.813 0.000
F 0.813 0.187 0.000
F 0.813 0.813 0.625


Density functional theory data (PBE) for a relaxed structure of Rb2PmHCl6.

For the calculated volume, the calculation gives 30.3 Å³ per atom. As for the space-group type: No. 12. The calculation puts the raw total energy at -38.6 eV per cell. The calculation puts the magnetization at 0.00 μB per cell.

Unit cell a=7.333 b=7.333 c=8.350 alpha=124.69 beta=124.69 gamma=72.55
Sites, in units of the cell vectors:
Rb 0.250 0.750 0.000
Rb 0.750 0.250 0.000
Pm 0.000 0.000 0.500
H 0.500 0.500 0.500
Cl 0.225 0.225 0.953
Cl 0.227 0.227 0.501
Cl 0.320 0.680 0.500
Cl 0.680 0.320 0.500
Cl 0.773 0.773 0.499
Cl 0.775 0.775 0.047